The following is a PBE calculation of a geometry-optimized FeCoNi2 structure, from Alexandria.

The structure belongs to space group Cm (No. 8); the cell edges are 8.271, 2.489 and 4.387 Å and the angles 90.00°, 99.69° and 90.00°. Symmetry generates all atoms from Fe at (0.000, 0.000, 0.000), Co at (0.251, 0.500, 0.265), Ni at (0.250, 0.000, 0.757) and Ni at (0.499, 0.000, 0.500).

Its density of states at the Fermi level is 7.08 states/eV/cell. The value obtained for the calculated formation energy is -26.4 meV per atom.